First-principles (PBE) data for an optimized crystal structure of Zn2SnSb2, as listed in the Alexandria database.

```
Zn2SnSb2
1.0
8.489 0.000 0.000
0.000 8.489 0.000
0.000 0.000 3.317
Zn Sn Sb
4 2 4
Direct
0.133 0.367 0.000
0.367 0.867 0.000
0.633 0.133 0.000
0.867 0.633 0.000
0.000 0.000 0.500
0.500 0.500 0.500
0.163 0.663 0.500
0.337 0.163 0.500
0.663 0.837 0.500
0.837 0.337 0.500
```

D(E_F), states/eV per atom: 0.43
Crystal system: tetragonal
VASP energy, eV/atom: -2.812